# LaScPt2 PBE-GGA optimized geometry
data_LaScPt2
_chemical_formula_sum 'La1 Sc1 Pt2'
_cell_length_a 4.0728
_cell_length_b 4.0728
_cell_length_c 5.7419
_cell_angle_alpha 90.00
_cell_angle_beta 90.00
_cell_angle_gamma 90.00
_symmetry_space_group_name_H-M 'P 4/m m m'
_symmetry_Int_Tables_number 123
_symmetry_space_group_name_Hall '-P 4 2'
loop_
_atom_site_label
_atom_site_type_symbol
_atom_site_fract_x
_atom_site_fract_y
_atom_site_fract_z
La1 La 0.0000 0.0000 0.0000
Sc1 Sc 0.5000 0.5000 0.5000
Pt1 Pt 0.0000 0.0000 0.5000
Pt2 Pt 0.5000 0.5000 0.0000
# - density of states at the Fermi level (states/eV/cell) = 2.79
# - crystal system = tetragonal
# - electronic total energy (eV per atom) = -6.832

---

# CaSmTm2 PBE-GGA optimized geometry
data_CaSmTm2
_chemical_formula_sum 'Ca1 Sm1 Tm2'
_cell_length_a 3.6159
_cell_length_b 3.6159
_cell_length_c 10.3106
_cell_angle_alpha 90.00
_cell_angle_beta 90.00
_cell_angle_gamma 90.00
_symmetry_space_group_name_H-M 'P 4/m m m'
_symmetry_Int_Tables_number 123
_symmetry_space_group_name_Hall '-P 4 2'
loop_
_atom_site_label
_atom_site_type_symbol
_atom_site_fract_x
_atom_site_fract_y
_atom_site_fract_z
Ca1 Ca 0.0000 0.0000 0.0000
Sm1 Sm 0.0000 0.0000 0.5000
Tm1 Tm 0.5000 0.5000 0.2685
# - density of states at the Fermi level (states/eV/cell) = 6.13
# - crystal system = tetragonal
# - energy relative to the lowest polymorph listed for this composition (meV/atom) = 13
# - electronic total energy (eV per atom) = -3.829

---

# LiCa2HgS PBE-GGA optimized geometry
data_LiCa2HgS
_chemical_formula_sum 'Li1 Ca2 Hg1 S1'
_cell_length_a 5.4243
_cell_length_b 5.4243
_cell_length_c 4.5501
_cell_angle_alpha 90.00
_cell_angle_beta 90.00
_cell_angle_gamma 90.00
_symmetry_space_group_name_H-M 'P 4/m m m'
_symmetry_Int_Tables_number 123
_symmetry_space_group_name_Hall '-P 4 2'
loop_
_atom_site_label
_atom_site_type_symbol
_atom_site_fract_x
_atom_site_fract_y
_atom_site_fract_z
Li1 Li 0.0000 0.0000 0.0000
Ca1 Ca 0.0000 0.5000 0.5000
Hg1 Hg 0.5000 0.5000 0.0000
S1 S 0.0000 0.0000 0.5000
# - density of states at the Fermi level (states/eV/cell) = 3.40
# - crystal system = tetragonal
# - electronic total energy (eV per atom) = -2.969

---

# NdMg3Sc2 PBE-GGA optimized geometry
data_NdMg3Sc2
_chemical_formula_sum 'Nd1 Mg3 Sc2'
_cell_length_a 3.6714
_cell_length_b 3.6714
_cell_length_c 11.2342
_cell_angle_alpha 90.00
_cell_angle_beta 90.00
_cell_angle_gamma 90.00
_symmetry_space_group_name_H-M 'P 4/m m m'
_symmetry_Int_Tables_number 123
_symmetry_space_group_name_Hall '-P 4 2'
loop_
_atom_site_label
_atom_site_type_symbol
_atom_site_fract_x
_atom_site_fract_y
_atom_site_fract_z
Nd1 Nd 0.0000 0.0000 0.0000
Mg1 Mg 0.5000 0.5000 0.1911
Mg2 Mg 0.5000 0.5000 0.5000
Sc1 Sc 0.0000 0.0000 0.3442
# - density of states at the Fermi level (states/eV/cell) = 8.94
# - crystal system = tetragonal
# - electronic total energy (eV per atom) = -3.751

---

# ScTe2Ir PBE-GGA optimized geometry
data_ScTe2Ir
_chemical_formula_sum 'Sc4 Te8 Ir4'
_cell_length_a 5.1554
_cell_length_b 5.1554
_cell_length_c 16.0862
_cell_angle_alpha 90.00
_cell_angle_beta 90.00
_cell_angle_gamma 90.00
_symmetry_space_group_name_H-M 'I -4 2 d'
_symmetry_Int_Tables_number 122
_symmetry_space_group_name_Hall 'I -4 2bw'
loop_
_atom_site_label
_atom_site_type_symbol
_atom_site_fract_x
_atom_site_fract_y
_atom_site_fract_z
Sc1 Sc 0.0000 0.0000 0.0000
Te1 Te 0.2149 0.2500 0.6250
Ir1 Ir 0.0000 0.0000 0.5000
# - density of states at the Fermi level (states/eV/cell) = 15.03
# - crystal system = tetragonal
# - energy relative to the lowest polymorph listed for this composition (meV/atom) = 453
# - electronic total energy (eV per atom) = -5.599

---

# NaCe3Y2Se6 PBE-GGA optimized geometry
data_NaCe3Y2Se6
_chemical_formula_sum 'Na2 Ce6 Y4 Se12'
_cell_length_a 18.1994
_cell_length_b 4.1501
_cell_length_c 8.3721
_cell_angle_alpha 90.00
_cell_angle_beta 103.40
_cell_angle_gamma 90.00
_symmetry_space_group_name_H-M 'C 1 2/m 1'
_symmetry_Int_Tables_number 12
loop_
_symmetry_equiv_pos_as_xyz
'x,y,z'
'-x,-y,-z'
'-x,y,-z'
'x,-y,z'
'x+1/2,y+1/2,z'
'-x+1/2,-y+1/2,-z'
'-x+1/2,y+1/2,-z'
'x+1/2,-y+1/2,z'
loop_
_atom_site_label
_atom_site_type_symbol
_atom_site_fract_x
_atom_site_fract_y
_atom_site_fract_z
Na1 Na 0.0000 0.0000 0.0000
Ce1 Ce 0.0000 0.0000 0.5000
Ce2 Ce 0.1647 0.5000 0.8328
Y1 Y 0.1681 0.5000 0.3380
Se1 Se 0.0040 0.5000 0.2492
Se2 Se 0.1659 0.0000 0.0919
Se3 Se 0.1682 0.0000 0.5790
# - density of states at the Fermi level (states/eV/cell) = 39.84
# - crystal system = monoclinic
# - electronic total energy (eV per atom) = -6.158

---

Which value of electronic total energy does entry 6 give? -6.158 eV per atom